[1]
A plane-wave DFT calculation with PBE was carried out for crystalline Ta2Ir at its relaxed geometry.

Calculated values
The calculation puts the calculated total energy at -11.2416 eV per atom. The energy relative to the elements is -1.2 eV/f.u.

Cell lengths 4.7704, 3.0273, 7.2094 Å; angles 90.00, 103.63, 90.00 degrees
Space group P2/m (No. 10)
Unique sites:
Ta 0.0000 0.0000 0.0000 (multiplicity 1)
Ta 0.1321 0.5000 0.3442 (multiplicity 2)
Ta 0.5000 0.5000 0.0000 (multiplicity 1)
Ir 0.3836 0.0000 0.6736 (multiplicity 2)

---

[2]
A plane-wave DFT calculation with PBE was carried out for crystalline Ca3Cu4Sn4 at its relaxed geometry.

Calculated values
The calculation puts the calculated total energy at -3.8534 eV per atom. The energy relative to the elements is -4.0 eV/f.u. As for the energy above the most stable polymorph in this dataset: 0.0 meV per atom.

Cell lengths 4.5820, 7.1488, 14.7354 Å; angles 90.00, 90.00, 90.00 degrees
Space group Immm (No. 71)
Unique sites:
Ca 0.0000 0.0000 0.0000 (multiplicity 2)
Ca 0.0000 0.5000 0.1289 (multiplicity 4)
Cu 0.0000 0.3196 0.3289 (multiplicity 8)
Sn 0.0000 0.0000 0.2218 (multiplicity 4)
Sn 0.0000 0.1991 0.5000 (multiplicity 4)

---

[3]
A plane-wave DFT calculation with PBE was carried out for crystalline AcInBiS at its relaxed geometry.

Calculated values
The uncorrected formation energy comes out at -0.993 eV per atom. The calculation puts the calculated total energy at -4.7073 eV per atom.

Cell lengths 5.2453, 5.2453, 8.9729 Å; angles 90.00, 90.00, 90.00 degrees
Space group P4/nmm (No. 129, origin choice 2)
Unique sites:
Ac 0.2500 0.2500 0.1558 (multiplicity 2)
In 0.2500 0.7500 0.5000 (multiplicity 2)
Bi 0.2500 0.2500 0.6844 (multiplicity 2)
S 0.2500 0.7500 0.0000 (multiplicity 2)

---

[4]
A plane-wave DFT calculation with PBE was carried out for crystalline ScTeRu2 at its relaxed geometry.

Calculated values
The uncorrected formation energy comes out at -0.352 eV per atom. The calculation puts the calculated total energy at -7.3583 eV per atom.

Cell lengths 4.3933, 4.3933, 3.4647 Å; angles 90.00, 90.00, 90.00 degrees
Space group P4/mmm (No. 123)
Unique sites:
Sc 0.0000 0.0000 0.0000 (multiplicity 1)
Te 0.5000 0.5000 0.0000 (multiplicity 1)
Ru 0.0000 0.5000 0.5000 (multiplicity 2)

---

[5]
A plane-wave DFT calculation with PBE was carried out for crystalline La2In2Pb at its relaxed geometry.

Calculated values
The calculation puts the calculated total energy at -4.2885 eV per atom. The energy relative to the elements is -2.4 eV/f.u.

Cell lengths 12.0669, 4.9877, 11.4477 Å; angles 90.00, 115.49, 90.00 degrees
Space group C2/m (No. 12)
Unique sites:
La 0.0703 0.0000 0.3533 (multiplicity 4)
La 0.1717 0.0000 0.0604 (multiplicity 4)
In 0.0095 0.5000 0.8710 (multiplicity 4)
In 0.1336 0.5000 0.5595 (multiplicity 4)
Pb 0.2290 0.0000 0.7269 (multiplicity 4)

---

[6]
A plane-wave DFT calculation with PBE was carried out for crystalline TcHg4Pt at its relaxed geometry.

Calculated values
The calculation puts the calculated total energy at -2.0892 eV per atom. The energy relative to the elements is 5.1 eV/f.u.

Cell lengths 7.9707, 7.9707, 7.9707 Å; angles 90.00, 90.00, 90.00 degrees
Space group F-43m (No. 216)
Unique sites:
Tc 0.0000 0.0000 0.0000 (multiplicity 4)
Hg 0.1250 0.1250 0.6250 (multiplicity 16)
Pt 0.2500 0.2500 0.2500 (multiplicity 4)

---

[7]
A plane-wave DFT calculation with PBE was carried out for crystalline SnPSe2 at its relaxed geometry.

Calculated values
The uncorrected formation energy comes out at 0.205 eV per atom. The calculation puts the calculated total energy at -3.8902 eV per atom. As for the energy above the most stable polymorph in this dataset: 49.3 meV per atom.

Cell lengths 3.9356, 3.9356, 24.8092 Å; angles 90.00, 90.00, 120.00 degrees
Space group R-3m (No. 166, hexagonal axes)
Unique sites:
Sn 0.0000 0.0000 0.0000 (multiplicity 3)
P 0.0000 0.0000 0.5000 (multiplicity 3)
Se 0.0000 0.0000 0.4044 (multiplicity 6)

---

[8]
A plane-wave DFT calculation with PBE was carried out for crystalline CsBaAsBr2 at its relaxed geometry.

Calculated values
The uncorrected formation energy comes out at -0.543 eV per atom. The calculation puts the calculated total energy at -2.6971 eV per atom.

Cell lengths 6.3455, 6.3455, 5.9514 Å; angles 90.00, 90.00, 90.00 degrees
Space group P4/mmm (No. 123)
Unique sites:
Cs 0.0000 0.0000 0.0000 (multiplicity 1)
Ba 0.5000 0.5000 0.5000 (multiplicity 1)
As 0.0000 0.0000 0.5000 (multiplicity 1)
Br 0.0000 0.5000 0.0000 (multiplicity 2)

---

[9]
A plane-wave DFT calculation with PBE was carried out for crystalline RbI2N at its relaxed geometry.

Calculated values
The uncorrected formation energy comes out at 0.091 eV per atom. The calculation puts the calculated total energy at -3.0071 eV per atom. As for the energy above the most stable polymorph in this dataset: 0.0 meV per atom.

Cell lengths 7.4308, 7.4308, 10.5335 Å; angles 90.00, 90.00, 90.00 degrees
Space group I4_1/amd (No. 141, origin choice 2)
Unique sites:
Rb 0.0000 0.2500 0.3750 (multiplicity 4)
I 0.0000 0.0000 0.0000 (multiplicity 8)
N 0.0000 0.2500 0.8750 (multiplicity 4)

---

[10]
A plane-wave DFT calculation with PBE was carried out for crystalline CsGeIN2 at its relaxed geometry.

Calculated values
The uncorrected formation energy comes out at 1.103 eV per atom. The calculation puts the calculated total energy at -3.6317 eV per atom. As for the energy above the most stable polymorph in this dataset: 0.0 meV per atom.

Cell lengths 4.7645, 4.7645, 6.0187 Å; angles 90.00, 90.00, 90.00 degrees
Space group P4/mmm (No. 123)
Unique sites:
Cs 0.0000 0.0000 0.0000 (multiplicity 1)
Ge 0.5000 0.5000 0.5000 (multiplicity 1)
I 0.5000 0.5000 0.0000 (multiplicity 1)
N 0.0000 0.5000 0.5000 (multiplicity 2)